DFT (GGA-PBE) results for a geometry-optimized Zn2InSb structure.

a = 3.3787 Å, b = 3.3787 Å, c = 26.9450 Å
α = 90.00°, β = 90.00°, γ = 120.00°
Last column: nearest neighbours and their distance in Å.
Space group R3m (No. 160, hexagonal axes)
One atom of each set of equivalent atoms:
1 Zn 0.0000 0.0000 0.0000  3 Zn 2.63, 3 In 2.94
2 Zn 0.0000 0.0000 0.2676  3 Zn 2.63
3 In 0.0000 0.0000 0.7484  3 Zn 2.94
4 Sb 0.0000 0.0000 0.5177  3 Zn 2.97

Summary:
ΔE to the lowest computed polymorph	61	meV per atom
crystal system	trigonal
raw total energy	-2.20	eV/atom
energy relative to the elements, uncorrected	14.70	kJ per mole of atoms